[1]
# Hf2ReGe

A relaxed structure of Hf2ReGe (PBE, Alexandria).

The calculation puts the formation energy at 0.3151 eV per atom. The space group is R-3m (166).

The structure in POSCAR format:
```
Hf2ReGe
1.0
1.4758 0.8520 10.0364
-1.4758 0.8520 10.0364
0.0000 -1.7041 10.0364
Hf Re Ge
2 1 1
Direct
0.0871 0.0871 0.0871 Hf
0.9129 0.9129 0.9129 Hf
0.0000 0.0000 0.0000 Re
0.5000 0.5000 0.5000 Ge
```


[2]
# CaBe3

A relaxed structure of CaBe3 (PBE, Alexandria).

The calculation puts the formation energy at 0.9173 eV per atom. For the energy above the most stable polymorph in this dataset, the calculation gives 0.856 eV/atom. The space group is Cmmm (65).

The structure in POSCAR format:
```
CaBe3
1.0
2.8104 -4.0831 0.0000
2.8104 4.0831 0.0000
0.0000 0.0000 2.5548
Ca Be
1 3
Direct
0.0000 0.0000 0.0000 Ca
0.0000 0.5000 0.5000 Be
0.5000 0.0000 0.5000 Be
0.5000 0.5000 0.0000 Be
```


[3]
# Li2MnGeN

A relaxed structure of Li2MnGeN (PBE, Alexandria).

The space group is P4/mmm (123). The calculation puts the electronic total energy at -5.496 eV/atom.

The structure in POSCAR format:
```
Li2MnGeN
1.0
4.0442 0.0000 0.0000
0.0000 4.0442 0.0000
0.0000 0.0000 3.6427
Li Mn Ge N
2 1 1 1
Direct
0.0000 0.5000 0.0000 Li
0.5000 0.0000 0.0000 Li
0.0000 0.0000 0.5000 Mn
0.5000 0.5000 0.5000 Ge
0.0000 0.0000 0.0000 N
```


[4]
# RbMg6Zr

A relaxed structure of RbMg6Zr (PBE, Alexandria).

The calculation puts the formation energy at 0.2471 eV per atom. For the energy above the most stable polymorph in this dataset, the calculation gives 0.005 eV/atom. The space group is Amm2 (38).

The structure in POSCAR format:
```
RbMg6Zr
1.0
4.6391 0.0000 0.0000
0.0000 4.8621 4.8603
0.0000 -4.8621 4.8603
Rb Mg Zr
1 6 1
Direct
0.0000 0.0000 0.0000 Rb
0.0000 0.5007 0.9954 Mg
0.0000 0.9954 0.5007 Mg
0.5000 0.2795 0.7149 Mg
0.5000 0.2806 0.2806 Mg
0.5000 0.7149 0.2795 Mg
0.5000 0.7157 0.7157 Mg
0.0000 0.4977 0.4977 Zr
```


[5]
# Y2TcBr

A relaxed structure of Y2TcBr (PBE, Alexandria).

For the energy above the most stable polymorph in this dataset, the calculation gives 0.007 eV/atom. The space group is C2/m (12).

The structure in POSCAR format:
```
Y2TcBr
1.0
2.6775 -2.2684 0.0000
2.6775 2.2684 0.0000
-1.5428 0.0000 8.1196
Y Tc Br
2 1 1
Direct
0.0597 0.0597 0.2032 Y
0.9403 0.9403 0.7968 Y
0.5000 0.5000 0.0000 Tc
0.5000 0.5000 0.5000 Br
```


[6]
# In2CoSe

A relaxed structure of In2CoSe (PBE, Alexandria).

The space group is Cmmm (65). The calculation puts the electronic total energy at -3.736 eV/atom.

The structure in POSCAR format:
```
In2CoSe
1.0
2.9845 -3.8766 0.0000
2.9845 3.8766 0.0000
0.0000 0.0000 3.4435
In Co Se
2 1 1
Direct
0.0000 0.5000 0.0000 In
0.5000 0.0000 0.0000 In
0.0000 0.0000 0.5000 Co
0.5000 0.5000 0.5000 Se
```


[7]
# TcH2I6

A relaxed structure of TcH2I6 (PBE, Alexandria).

The space group is C2/c (15). The calculation puts the electronic total energy at -2.956 eV/atom.

The structure in POSCAR format:
```
TcH2I6
1.0
8.4139 -6.6508 0.0000
8.4139 6.6508 0.0000
-2.5937 0.0000 6.4208
Tc H I
2 4 12
Direct
0.0874 0.9126 0.7500 Tc
0.9126 0.0874 0.2500 Tc
0.3329 0.3809 0.8196 H
0.3809 0.3329 0.3196 H
0.6191 0.6671 0.6804 H
0.6671 0.6191 0.1804 H
0.0285 0.1659 0.0101 I
0.1112 0.6687 0.5163 I
0.1659 0.0285 0.5101 I
0.2643 0.4600 0.0169 I
0.3313 0.8888 0.9837 I
0.4600 0.2643 0.5169 I
0.5400 0.7357 0.4831 I
0.6687 0.1112 0.0163 I
0.7357 0.5400 0.9831 I
0.8341 0.9715 0.4899 I
0.8888 0.3313 0.4837 I
0.9715 0.8341 0.9899 I
```


[8]
# Ba2SbS4

A relaxed structure of Ba2SbS4 (PBE, Alexandria).

For the energy above the most stable polymorph in this dataset, the calculation gives 0.000 eV/atom. The space group is I4/mmm (139).

The structure in POSCAR format:
```
Ba2SbS4
1.0
-2.5316 2.5316 7.9456
2.5316 -2.5316 7.9456
2.5316 2.5316 -7.9456
Ba Sb S
2 1 4
Direct
0.1407 0.1407 0.0000 Ba
0.8593 0.8593 0.0000 Ba
0.5000 0.5000 0.0000 Sb
0.0000 0.5000 0.5000 S
0.3351 0.3351 0.0000 S
0.5000 0.0000 0.5000 S
0.6649 0.6649 0.0000 S
```


[9]
# Tb2Pm6Ru

A relaxed structure of Tb2Pm6Ru (PBE, Alexandria).

The calculation puts the formation energy at -0.0234 eV per atom. The space group is P2/m (10).

The structure in POSCAR format:
```
Tb2Pm6Ru
1.0
8.7785 0.0000 0.0000
0.0000 3.7903 0.0000
-0.4656 0.0000 8.8923
Tb Pm Ru
2 6 1
Direct
0.1983 0.0000 0.0328 Tb
0.8017 0.0000 0.9672 Tb
0.0548 0.5000 0.7204 Pm
0.2709 0.0000 0.4490 Pm
0.4680 0.5000 0.8028 Pm
0.5320 0.5000 0.1972 Pm
0.7291 0.0000 0.5510 Pm
0.9452 0.5000 0.2796 Pm
0.5000 0.5000 0.5000 Ru
```


[10]
# Y3Al8Cd

A relaxed structure of Y3Al8Cd (PBE, Alexandria).

The calculation puts the formation energy at -0.3601 eV per atom. The space group is R3m (160).

The structure in POSCAR format:
```
Y3Al8Cd
1.0
2.7840 1.6073 9.0101
-2.7840 1.6073 9.0101
0.0000 -3.2147 9.0101
Y Al Cd
3 8 1
Direct
0.0000 0.0000 0.0000 Y
0.1292 0.1292 0.1292 Y
0.6216 0.6216 0.6216 Y
0.0607 0.5642 0.5642 Al
0.0625 0.0625 0.5685 Al
0.0625 0.5685 0.0625 Al
0.3133 0.3133 0.3133 Al
0.5642 0.0607 0.5642 Al
0.5642 0.5642 0.0607 Al
0.5685 0.0625 0.0625 Al
0.8141 0.8141 0.8141 Al
0.4989 0.4989 0.4989 Cd
```


[11]
# PmPa6Se8

A relaxed structure of PmPa6Se8 (PBE, Alexandria).

For the energy above the most stable polymorph in this dataset, the calculation gives 0.000 eV/atom. The space group is Fm-3m (225).

The structure in POSCAR format:
```
PmPa6Se8
1.0
0.0000 5.7296 5.7296
5.7296 0.0000 5.7296
5.7296 5.7296 0.0000
Pm Pa Se
1 6 8
Direct
0.0000 0.0000 0.0000 Pm
0.0000 0.0000 0.5000 Pa
0.0000 0.5000 0.0000 Pa
0.0000 0.5000 0.5000 Pa
0.5000 0.0000 0.0000 Pa
0.5000 0.0000 0.5000 Pa
0.5000 0.5000 0.0000 Pa
0.2500 0.2500 0.2500 Se
0.2618 0.2618 0.7382 Se
0.2618 0.7382 0.2618 Se
0.2618 0.7382 0.7382 Se
0.7382 0.2618 0.2618 Se
0.7382 0.2618 0.7382 Se
0.7382 0.7382 0.2618 Se
0.7500 0.7500 0.7500 Se
```


[12]
# Tl3F

A relaxed structure of Tl3F (PBE, Alexandria).

For the energy above the most stable polymorph in this dataset, the calculation gives 0.013 eV/atom. The space group is Imm2 (44).

The structure in POSCAR format:
```
Tl3F
1.0
-1.7631 5.7606 2.6813
1.7631 -5.7606 2.6813
1.7631 5.7606 -2.6813
Tl F
3 1
Direct
0.0000 0.0000 0.0000 Tl
0.3213 0.5175 0.8038 Tl
0.7137 0.5175 0.1962 Tl
0.3572 0.8572 0.5000 F
```


Number 1: calculated volume 75.7 Å³/cell. Number 2: calculated volume 58.6 Å³/cell. Number 3: calculated volume 59.6 Å³/cell. Number 4: calculated volume 219.3 Å³/cell. Number 5: calculated volume 98.6 Å³/cell. Number 6: calculated volume 79.7 Å³/cell. Number 7: calculated volume 718.6 Å³/cell. Number 8: calculated volume 203.7 Å³/cell. Number 9: calculated volume 295.9 Å³/cell. Number 10: calculated volume 241.9 Å³/cell. Number 11: calculated volume 376.2 Å³/cell. Number 12: calculated volume 108.9 Å³/cell.